[1]
A plane-wave DFT calculation with GGA-PBEsol was carried out for a relaxed structure of NaCaGaSi2O7.

Calculated values
symmetry = P2_1, No. 4
formation energy (no corrections) = -2.632 eV per atom
final energy = -7.22 eV/atom

Cell: 5.0623 7.7107 7.7440 Å, 90.00 91.34 90.00°
Sites, in units of the cell vectors:
Na (0.0054, 0.0000, 0.4309)
Na (0.9946, 0.5000, 0.5691)
Ca (0.0094, 0.6808, 0.0947)
Ca (0.9906, 0.1808, 0.9053)
Ga (0.4990, 0.8364, 0.7539)
Ga (0.5010, 0.3364, 0.2461)
Si (0.4435, 0.4783, 0.8952)
Si (0.4546, 0.1961, 0.6137)
Si (0.5454, 0.6961, 0.3863)
Si (0.5565, 0.9783, 0.1048)
O (0.2313, 0.6880, 0.3675)
O (0.2424, 0.9785, 0.0816)
O (0.2797, 0.4107, 0.0669)
O (0.2978, 0.0207, 0.6807)
O (0.2995, 0.6653, 0.8533)
O (0.3229, 0.2390, 0.4232)
O (0.3244, 0.3470, 0.7423)
O (0.6756, 0.8470, 0.2577)
O (0.6771, 0.7390, 0.5768)
O (0.7005, 0.1653, 0.1467)
O (0.7022, 0.5207, 0.3193)
O (0.7203, 0.9107, 0.9331)
O (0.7576, 0.4785, 0.9184)
O (0.7687, 0.1880, 0.6325)

[2]
A plane-wave DFT calculation with GGA-PBEsol was carried out for a relaxed structure of YHg2Pd.

Calculated values
ΔE_f = -2.2 eV per formula unit
symmetry = Fm-3m, No. 225
final energy = -4.04 eV/atom

Cell: 4.8417 4.8417 4.8417 Å, 60.00 60.00 60.00°
Sites, in units of the cell vectors:
Y (0.0000, 0.0000, 0.0000)
Hg (0.2500, 0.2500, 0.2500)
Hg (0.7500, 0.7500, 0.7500)
Pd (0.5000, 0.5000, 0.5000)

[3]
A plane-wave DFT calculation with GGA-PBEsol was carried out for a relaxed structure of NaPH5C2SN3O4.

Calculated values
symmetry = P-1, No. 2
final energy = -6.45 eV/atom

Cell: 5.7749 6.6781 10.4313 Å, 93.29 96.13 104.78°
Sites, in units of the cell vectors:
Na (0.0404, 0.1494, 0.2139)
Na (0.9596, 0.8506, 0.7861)
P (0.4964, 0.7279, 0.2194)
P (0.5036, 0.2721, 0.7806)
H (0.0500, 0.3549, 0.4769)
H (0.3589, 0.1578, 0.0051)
H (0.4221, 0.9272, 0.3988)
H (0.4603, 0.6130, 0.8248)
H (0.4821, 0.0673, 0.1229)
H (0.5179, 0.9327, 0.8771)
H (0.5397, 0.3870, 0.1752)
H (0.5779, 0.0728, 0.6012)
H (0.6411, 0.8422, 0.9949)
H (0.9500, 0.6451, 0.5231)
C (0.2332, 0.4959, 0.6565)
C (0.3094, 0.2035, 0.5288)
C (0.6906, 0.7965, 0.4712)
C (0.7668, 0.5041, 0.3435)
S (0.1669, 0.6356, 0.1350)
S (0.8331, 0.3644, 0.8650)
N (0.1814, 0.3457, 0.5540)
N (0.3882, 0.4775, 0.7582)
N (0.4792, 0.1818, 0.6223)
N (0.5208, 0.8182, 0.3777)
N (0.6118, 0.5225, 0.2418)
N (0.8186, 0.6543, 0.4460)
O (0.1408, 0.6468, 0.6505)
O (0.2663, 0.1037, 0.4190)
O (0.3315, 0.1041, 0.8446)
O (0.3837, 0.1673, 0.1025)
O (0.6163, 0.8327, 0.8975)
O (0.6685, 0.8959, 0.1554)
O (0.7337, 0.8963, 0.5810)
O (0.8592, 0.3532, 0.3495)

[4]
A plane-wave DFT calculation with GGA-PBEsol was carried out for a relaxed structure of ZnCo2Br.

Calculated values
symmetry = R-3m, No. 166
formation energy (no corrections) = 0.500 eV per atom
distance to the lowest polymorph of the same formula = 149 meV per atom
final energy = -4.23 eV/atom

Cell: 7.6169 7.6169 7.6169 Å, 21.98 21.98 21.98°
Sites, in units of the cell vectors:
Zn (0.0000, 0.0000, 0.0000)
Co (0.2501, 0.2501, 0.2501)
Co (0.7499, 0.7499, 0.7499)
Br (0.5000, 0.5000, 0.5000)

[5]
A plane-wave DFT calculation with GGA-PBEsol was carried out for a relaxed structure of NbFe3Mo.

Calculated values
ΔE_f = 7.0 eV per formula unit
symmetry = Pm-3m, No. 221
final energy = -8.50 eV/atom

Cell: 4.2745 4.2745 4.2745 Å, 90.00 90.00 90.00°
Sites, in units of the cell vectors:
Nb (0.0000, 0.0000, 0.0000)
Fe (0.0000, 0.5000, 0.5000)
Fe (0.5000, 0.0000, 0.5000)
Fe (0.5000, 0.5000, 0.0000)
Mo (0.5000, 0.5000, 0.5000)

[6]
A plane-wave DFT calculation with GGA-PBEsol was carried out for a relaxed structure of MgPt2I.

Calculated values
symmetry = Fm-3m, No. 225
formation energy (no corrections) = 0.109 eV per atom
final energy = -4.24 eV/atom

Cell: 4.6872 4.6872 4.6872 Å, 60.00 60.00 60.00°
Sites, in units of the cell vectors:
Mg (0.0000, 0.0000, 0.0000)
Pt (0.2500, 0.2500, 0.2500)
Pt (0.7500, 0.7500, 0.7500)
I (0.5000, 0.5000, 0.5000)

[7]
A plane-wave DFT calculation with GGA-PBEsol was carried out for a relaxed structure of TcIr3C.

Calculated values
ΔE_f = 3.5 eV per formula unit
symmetry = Pm-3m, No. 221
final energy = -9.38 eV/atom

Cell: 4.0328 4.0328 4.0328 Å, 90.00 90.00 90.00°
Sites, in units of the cell vectors:
Tc (0.0000, 0.0000, 0.0000)
Ir (0.0000, 0.5000, 0.5000)
Ir (0.5000, 0.0000, 0.5000)
Ir (0.5000, 0.5000, 0.0000)
C (0.5000, 0.5000, 0.5000)

[8]
A plane-wave DFT calculation with GGA-PBEsol was carried out for a relaxed structure of V3O7F.

Calculated values
symmetry = Pnma, No. 62
formation energy (no corrections) = -2.292 eV per atom
final energy = -8.44 eV/atom

Cell: 14.6874 9.7754 3.5846 Å, 90.00 90.00 90.00°
Sites, in units of the cell vectors:
V (0.0500, 0.2500, 0.0875)
V (0.1634, 0.5591, 0.9860)
V (0.1634, 0.9409, 0.9860)
V (0.3366, 0.0591, 0.4860)
V (0.3366, 0.4409, 0.4860)
V (0.4500, 0.7500, 0.5875)
V (0.5500, 0.2500, 0.4125)
V (0.6634, 0.5591, 0.5140)
V (0.6634, 0.9409, 0.5140)
V (0.8366, 0.0591, 0.0140)
V (0.8366, 0.4409, 0.0140)
V (0.9500, 0.7500, 0.9125)
O (0.0318, 0.2500, 0.5395)
O (0.0611, 0.6237, 0.9712)
O (0.0611, 0.8763, 0.9712)
O (0.1250, 0.1139, 0.0363)
O (0.1250, 0.3861, 0.0363)
O (0.1986, 0.5505, 0.5187)
O (0.1986, 0.9495, 0.5187)
O (0.3014, 0.0505, 0.0187)
O (0.3014, 0.4495, 0.0187)
O (0.3750, 0.6139, 0.5363)
O (0.3750, 0.8861, 0.5363)
O (0.4389, 0.1237, 0.4712)
O (0.4389, 0.3763, 0.4712)
O (0.4682, 0.7500, 0.0395)
O (0.5318, 0.2500, 0.9605)
O (0.5611, 0.6237, 0.5288)
O (0.5611, 0.8763, 0.5288)
O (0.6250, 0.1139, 0.4637)
O (0.6250, 0.3861, 0.4637)
O (0.6986, 0.5505, 0.9813)
O (0.6986, 0.9495, 0.9813)
O (0.8014, 0.0505, 0.4813)
O (0.8014, 0.4495, 0.4813)
O (0.8750, 0.6139, 0.9637)
O (0.8750, 0.8861, 0.9637)
O (0.9389, 0.1237, 0.0288)
O (0.9389, 0.3763, 0.0288)
O (0.9682, 0.7500, 0.4605)
F (0.2148, 0.7500, 0.0334)
F (0.2852, 0.2500, 0.5334)
F (0.7148, 0.7500, 0.4666)
F (0.7852, 0.2500, 0.9666)